# 1
The following is a DFT calculation (PBE) of an optimized crystal structure of K2ZrIn.

abc: 6.4922 12.6429 3.2784
angles: 90.00 90.00 90.00
Last column: nearest neighbours and their distance in Å.
Space group Cmmm (No. 65)
Unique sites:
K1 0.2500 0.2500 0.0000 [4 per cell]  4 K 3.25-3.28
Zr1 0.0000 0.0000 0.5000 [2 per cell]  2 In 3.25, 2 Zr 3.28
In1 0.0000 0.5000 0.5000 [2 per cell]  2 Zr 3.25, 2 In 3.28

Values from the calculation:
* theoretical density: 3.5 g/cm3
* size of the total moment: 4.40 μB per cell
* volume: 33.6 Å³/atom
* formation energy from the elements: 0.59 eV per atom

# 2
The following is a DFT calculation (PBE) of an optimized crystal structure of KZr2In.

abc: 3.2126 4.3276 8.8647
angles: 90.00 90.00 90.00
Last column: nearest neighbours and their distance in Å.
Space group Pmmm (No. 47)
Unique sites:
K1 0.0000 0.0000 0.0000 [1 per cell]  2 K 3.21
Zr1 0.5000 0.5000 0.3368 [2 per cell]  3 Zr 2.89-3.21, 4 In 3.06
In1 0.0000 0.0000 0.5000 [1 per cell]  8 Zr 3.06, 2 In 3.21

Values from the calculation:
* theoretical density: 4.5 g/cm3
* size of the total moment: 0.00 μB per cell
* volume: 30.8 Å³/atom
* formation energy from the elements: 0.40 eV per atom